DFT (PBE with a Hubbard U) results for a geometry-optimized RbFeCoF6 structure.

Summary:
The value obtained for the density is 3.601 g/cm3. The electronic total energy is -45.19 eV/f.u. The value obtained for the volume is 289.80 Å³/cell.

Lattice parameters (Å, degrees): 7.4235 7.4235 7.4235 120.53 119.21 90.23
Closest atoms and distances in Å follow each position.
Atoms (fractional coordinates):
Rb (0.3633, 0.1133, 0.2500)  5 F 2.99-3.18
Rb (0.6367, 0.8867, 0.7500)  5 F 2.99-3.18
Fe (0.0000, 0.5000, 0.5000)  6 F 1.94-1.98
Fe (0.5000, 0.5000, 0.0000)  6 F 1.94-1.98
Co (0.0000, 0.0000, 0.5000)  6 F 2.01-2.08
Co (0.0000, 0.5000, 0.0000)  6 F 2.01-2.08
F (0.0784, 0.4333, 0.2643)  1 Fe 1.94, 1 Co 2.08
F (0.0784, 0.8141, 0.6451)  1 Fe 1.94, 1 Co 2.08
F (0.0779, 0.8279, 0.2500)  2 Co 2.01
F (0.3111, 0.5611, 0.7500)  2 Fe 1.98
F (0.3310, 0.1859, 0.7643)  1 Fe 1.94, 1 Co 2.08
F (0.3310, 0.5667, 0.1451)  1 Fe 1.94, 1 Co 2.08
F (0.6690, 0.4333, 0.8549)  1 Fe 1.94, 1 Co 2.08
F (0.6690, 0.8141, 0.2357)  1 Fe 1.94, 1 Co 2.08
F (0.6889, 0.4389, 0.2500)  2 Fe 1.98
F (0.9221, 0.1721, 0.7500)  2 Co 2.01
F (0.9216, 0.1859, 0.3549)  1 Fe 1.94, 1 Co 2.08
F (0.9216, 0.5667, 0.7357)  1 Fe 1.94, 1 Co 2.08